# MnCrO2F GGA+U relaxed
data_MnCrO2F
_chemical_formula_sum 'Mn1 Cr1 O2 F1'
_space_group_name_H-M_alt 'P 4/m m m'
_space_group_IT_number 123
_space_group_name_Hall '-P 4 2'
_cell_length_a 3.8634
_cell_length_b 3.8634
_cell_length_c 3.9333
_cell_angle_alpha 90.00
_cell_angle_beta 90.00
_cell_angle_gamma 90.00
loop_
_atom_site_label
_atom_site_type_symbol
_atom_site_fract_x
_atom_site_fract_y
_atom_site_fract_z
Mn1 Mn 0.0000 0.0000 0.0000
Cr1 Cr 0.5000 0.5000 0.5000
O1 O 0.0000 0.5000 0.0000
F1 F 0.0000 0.0000 0.5000
# D(E_F)   2.3 states/eV/f.u.
# ρ   4.5 g/cm³
# Magnetization   8.000 μB per formula unit
# Volume   11.74 Å³ per atom
# E_tot   -6.643 eV/atom